Compound: LiCe2SnO
Source: Alexandria
Functional: PBE
Structure: relaxed

```
LiCe2SnO
1.0
4.482 0.000 0.000
0.000 4.870 0.000
0.000 0.000 4.870
Ce O Li Sn
2 1 1 1
Direct
0.000 0.500 0.000 Ce
0.000 0.000 0.500 Ce
0.000 0.000 0.000 O
0.500 0.000 0.000 Li
0.500 0.500 0.500 Sn
```

Summary:
- calculated density (g cm⁻³) = 6.59
- formation energy from raw total energies (eV/atom) = -1.426
- D(E_F) (states/eV/atom) = 1.8666
- SG = P4/mmm (123)

***

Compound: RbMnPt
Source: Alexandria
Functional: PBE
Structure: relaxed

```
RbMnPt
1.0
0.000 3.493 3.493
3.493 0.000 3.493
3.493 3.493 0.000
Pt Mn Rb
1 1 1
Direct
0.500 0.500 0.500 Pt
0.750 0.750 0.750 Mn
0.250 0.250 0.250 Rb
```

Summary:
- calculated density (g cm⁻³) = 6.54
- formation enthalpy at 0 K (meV/atom) = 737
- D(E_F) (states/eV/atom) = 1.0572
- E above lowest polymorph (meV per atom) = 705
- SG = F-43m (216)

***

Compound: Pr5Sm3Y2
Source: Alexandria
Functional: PBE
Structure: relaxed

```
Pr5Sm3Y2
1.0
6.555 0.000 0.000
3.277 10.505 -2.066
3.277 -0.421 10.698
Y Pr Sm
4 10 6
Direct
0.157 0.588 0.098 Y
0.657 0.098 0.588 Y
0.343 0.902 0.412 Y
0.843 0.412 0.902 Y
0.001 0.249 0.249 Pr
0.750 0.500 0.500 Pr
0.400 0.258 0.942 Pr
0.100 0.058 0.742 Pr
0.250 0.500 0.500 Pr
0.600 0.742 0.058 Pr
0.501 0.249 0.249 Pr
0.900 0.942 0.258 Pr
0.499 0.751 0.751 Pr
0.999 0.751 0.751 Pr
0.750 0.000 0.000 Sm
0.602 0.556 0.240 Sm
0.398 0.444 0.760 Sm
0.102 0.240 0.556 Sm
0.250 0.000 0.000 Sm
0.898 0.760 0.444 Sm
```

Summary:
- calculated density (g cm⁻³) = 6.06
- formation enthalpy at 0 K (meV/atom) = 330
- D(E_F) (states/eV/atom) = 1.6148
- E above lowest polymorph (meV per atom) = 165
- SG = Ibam (72)

***

Compound: RbCa2InPt
Source: Alexandria
Functional: PBE
Structure: relaxed

```
RbCa2InPt
1.0
-3.834 -3.799 1.918
4.254 -3.487 1.598
0.101 2.321 4.798
Ca Pt Rb In
2 1 1 1
Direct
0.500 0.000 0.000 Ca
0.000 0.500 0.000 Ca
0.000 0.000 0.000 Pt
0.500 0.500 0.500 Rb
0.000 0.000 0.500 In
```

Summary:
- calculated density (g cm⁻³) = 4.51
- formation enthalpy at 0 K (meV/atom) = -381
- D(E_F) (states/eV/atom) = 0.6485
- SG = P4/mmm (123)

***

Compound: CeDyAlGa
Source: Alexandria
Functional: PBE
Structure: relaxed

```
CeDyAlGa
1.0
5.127 0.000 0.000
2.563 4.440 0.000
2.563 1.480 4.186
Ga Dy Ce Al
1 1 1 1
Direct
0.250 0.250 0.250 Ga
0.000 0.000 0.000 Dy
0.500 0.500 0.500 Ce
0.750 0.750 0.750 Al
```

Summary:
- calculated density (g cm⁻³) = 6.96
- formation enthalpy at 0 K (meV/atom) = -422
- D(E_F) (states/eV/atom) = 1.4469
- SG = F-43m (216)

***

Compound: AcTiB12
Source: Alexandria
Functional: PBE
Structure: relaxed

```
AcTiB12
1.0
-1.213 3.951 -0.389
-3.329 -1.234 -2.152
-4.300 -0.629 7.012
B Ti Ac
12 1 1
Direct
0.500 0.200 0.756 B
0.800 0.500 0.756 B
0.500 0.500 0.603 B
0.500 0.800 0.756 B
0.500 0.200 0.244 B
0.500 0.500 0.097 B
0.500 0.800 0.244 B
0.500 0.500 0.397 B
0.500 0.500 0.903 B
0.200 0.500 0.244 B
0.200 0.500 0.756 B
0.800 0.500 0.244 B
0.000 0.000 0.000 Ti
0.000 0.000 0.500 Ac
```

Summary:
- calculated density (g cm⁻³) = 4.73
- formation enthalpy at 0 K (meV/atom) = -205
- D(E_F) (states/eV/atom) = 0.1769
- SG = P4/mmm (123)